The following is a PBE calculation of a relaxed structure of CaTiIN2, from Alexandria.

a = 4.3328 Å, b = 4.3328 Å, c = 5.7242 Å
α = 90.00°, β = 90.00°, γ = 90.00°
Closest atoms and distances in Å follow each position.
Fractional positions:
Ca (0.0000, 0.0000, 0.0000)  4 N 2.17
Ti (0.5000, 0.5000, 0.5000)  4 I 3.06
I (0.0000, 0.0000, 0.5000)  2 Ca 2.86, 4 Ti 3.06
N (0.0000, 0.5000, 0.0000)  2 Ca 2.17
N (0.5000, 0.0000, 0.0000)  2 Ca 2.17

Energy above the lowest structure with this stoichiometry in eV/atom: 1.6249
Formation energy (no corrections) in eV/atom: 1.409
VASP energy in eV for the cell shown: -21.1
Symmetry: No. 123